(1)
Computed, not measured: crystalline CsNpF6 at its relaxed geometry at the GGA-PBE level of DFT.

Calculated values
- ΔE to the lowest computed polymorph (kJ per mole of atoms) = 0.0
- mass density (g/cm³) = 4.67

abc: 5.6008 5.6008 5.6008
angles: 96.42 96.42 96.42
Atoms (fractional coordinates):
Cs (0.0000, 0.0000, 0.0000)
Np (0.5000, 0.5000, 0.5000)
F (0.2396, 0.2396, 0.5856)
F (0.2396, 0.5856, 0.2396)
F (0.4144, 0.7604, 0.7604)
F (0.5856, 0.2396, 0.2396)
F (0.7604, 0.4144, 0.7604)
F (0.7604, 0.7604, 0.4144)

---

(2)
Computed, not measured: crystalline Cs2NpO4F2 at its relaxed geometry at the GGA-PBE level of DFT.

Calculated values
- mass density (g/cm³) = 4.70

abc: 6.8879 6.8879 6.8879
angles: 124.44 124.44 82.46
Atoms (fractional coordinates):
Cs (0.2500, 0.7500, 0.5000)
Cs (0.7500, 0.2500, 0.5000)
Np (0.0000, 0.0000, 0.0000)
O (0.2063, 0.2063, 0.4126)
O (0.2063, 0.7937, 0.0000)
O (0.7937, 0.2063, 0.0000)
O (0.7937, 0.7937, 0.5874)
F (0.2175, 0.2175, 0.0000)
F (0.7825, 0.7825, 0.0000)

---

(3)
Computed, not measured: crystalline Cs2NpO2F4 at its relaxed geometry at the GGA-PBE level of DFT.

Calculated values
- mass density (g/cm³) = 5.23

abc: 6.5403 6.5403 5.1508
angles: 91.29 91.29 61.71
Atoms (fractional coordinates):
Cs (0.1643, 0.1643, 0.3071)
Cs (0.8357, 0.8357, 0.6929)
Np (0.5000, 0.5000, 0.0000)
O (0.3682, 0.3682, 0.7843)
O (0.6318, 0.6318, 0.2157)
F (0.1770, 0.6558, 0.2204)
F (0.3442, 0.8230, 0.7796)
F (0.6558, 0.1770, 0.2204)
F (0.8230, 0.3442, 0.7796)

---

(4)
Computed, not measured: crystalline Cs2NpO2F2 at its relaxed geometry at the GGA-PBE level of DFT.

Calculated values
- mass density (g/cm³) = 6.21

abc: 8.5289 8.5289 8.5289
angles: 150.16 150.16 42.70
Atoms (fractional coordinates):
Cs (0.1502, 0.1502, 0.0000)
Cs (0.8498, 0.8498, 0.0000)
Np (0.5000, 0.5000, 0.0000)
O (0.0000, 0.5000, 0.5000)
O (0.5000, 0.0000, 0.5000)
F (0.3512, 0.3512, 0.0000)
F (0.6488, 0.6488, 0.0000)

---

(5)
Computed, not measured: crystalline Cs3Rb2NpF9 at its relaxed geometry at the GGA-PBE level of DFT.

Calculated values
- mass density (g/cm³) = 4.06

abc: 7.2229 7.2229 8.8553
angles: 90.00 90.00 120.00
Atoms (fractional coordinates):
Cs (0.0000, 0.0000, 0.0000)
Cs (0.3333, 0.6667, 0.7738)
Cs (0.6667, 0.3333, 0.2262)
Rb (0.3333, 0.6667, 0.1979)
Rb (0.6667, 0.3333, 0.8021)
Np (0.0000, 0.0000, 0.5000)
F (0.0000, 0.5000, 0.0000)
F (0.1386, 0.2773, 0.3525)
F (0.1386, 0.8614, 0.3525)
F (0.2773, 0.1386, 0.6475)
F (0.5000, 0.0000, 0.0000)
F (0.5000, 0.5000, 0.0000)
F (0.7227, 0.8614, 0.3525)
F (0.8614, 0.1386, 0.6475)
F (0.8614, 0.7227, 0.6475)

---

(6)
Computed, not measured: crystalline CsRbNpF6 at its relaxed geometry at the GGA-PBE level of DFT.

Calculated values
- mass density (g/cm³) = 4.30

abc: 7.0737 7.0737 10.1580
angles: 90.00 90.00 120.00
Atoms (fractional coordinates):
Cs (0.0000, 0.0000, 0.0000)
Cs (0.0000, 0.0000, 0.5000)
Rb (0.3333, 0.6667, 0.2500)
Rb (0.6667, 0.3333, 0.7500)
Np (0.3333, 0.6667, 0.7500)
Np (0.6667, 0.3333, 0.2500)
F (0.0716, 0.4096, 0.6352)
F (0.0716, 0.6620, 0.8648)
F (0.3380, 0.4096, 0.8648)
F (0.3380, 0.9284, 0.6352)
F (0.4096, 0.0716, 0.1352)
F (0.4096, 0.3380, 0.3648)
F (0.5904, 0.6620, 0.6352)
F (0.5904, 0.9284, 0.8648)
F (0.6620, 0.0716, 0.3648)
F (0.6620, 0.5904, 0.1352)
F (0.9284, 0.3380, 0.1352)
F (0.9284, 0.5904, 0.3648)

---

(7)
Computed, not measured: crystalline Cs2RbNpF8 at its relaxed geometry at the GGA-PBE level of DFT.

Calculated values
- mass density (g/cm³) = 4.70

abc: 7.7035 7.7035 7.7035
angles: 130.07 130.07 73.29
Atoms (fractional coordinates):
Cs (0.0000, 0.0000, 0.0000)
Cs (0.7500, 0.2500, 0.5000)
Rb (0.5000, 0.5000, 0.0000)
Np (0.2500, 0.7500, 0.5000)
F (0.1594, 0.0519, 0.5044)
F (0.1594, 0.6550, 0.1075)
F (0.3450, 0.4525, 0.5044)
F (0.3450, 0.8406, 0.8925)
F (0.5475, 0.0519, 0.8925)
F (0.5475, 0.6550, 0.4956)
F (0.9481, 0.4525, 0.1075)
F (0.9481, 0.8406, 0.4956)

---

(8)
Computed, not measured: crystalline CsNpS2F at its relaxed geometry at the GGA-PBE level of DFT.

Calculated values
- mass density (g/cm³) = 4.97

abc: 8.3718 4.0518 9.3135
angles: 90.00 106.72 90.00
Atoms (fractional coordinates):
Cs (0.2097, 0.2500, 0.3142)
Cs (0.7903, 0.7500, 0.6858)
Np (0.3287, 0.2500, 0.8356)
Np (0.6713, 0.7500, 0.1644)
S (0.3357, 0.7500, 0.0338)
S (0.3432, 0.7500, 0.6550)
S (0.6568, 0.2500, 0.3450)
S (0.6643, 0.2500, 0.9662)
F (0.0615, 0.2500, 0.7702)
F (0.9385, 0.7500, 0.2298)

---

Energy relative to the elements, uncorrected, record by record: -3.283, -2.390, -3.001, -2.771, -2.997, -3.241, -3.101, -1.950 eV per atom